Record 1
Compound: NdHo2ErIn2
Source: the Open Quantum Materials Database
Functional: GGA-PBE
Structure: relaxed

Crystal system: hexagonal
Final energy (eV/atom): -4.33

Lattice parameters (Å, degrees): 5.403 5.403 6.754 90.00 90.00 120.00
Each line ends with the local moment (μB).
Sites, in units of the cell vectors:
Er 0.000 0.000 0.000  0.17
Ho 0.333 0.667 0.244  0.17
Ho 0.333 0.667 0.756  0.19
In 0.667 0.333 0.000  -0.01
In 0.000 0.000 0.500  0.00
Nd 0.667 0.333 0.500  0.08

Record 2
Compound: NdHoEr2In2
Source: the Open Quantum Materials Database
Functional: GGA-PBE
Structure: relaxed

Crystal system: hexagonal
Final energy (eV/atom): -4.33

Lattice parameters (Å, degrees): 5.400 5.400 6.751 90.00 90.00 120.00
Each line ends with the local moment (μB).
Sites, in units of the cell vectors:
Er 0.333 0.667 0.245  0.14
Er 0.333 0.667 0.755  0.16
Ho 0.000 0.000 0.000  0.14
In 0.667 0.333 0.000  -0.01
In 0.000 0.000 0.500  0.00
Nd 0.667 0.333 0.500  0.07

Record 3
Compound: HoErIn4Ni2
Source: the Open Quantum Materials Database
Functional: GGA-PBE
Structure: relaxed

Crystal system: orthorhombic
Final energy (eV/atom): -4.34

Lattice parameters (Å, degrees): 7.407 5.640 5.640 44.81 90.00 90.00
Sites, in units of the cell vectors:
Er 0.000 0.432 0.432
Ho 0.500 0.567 0.567
In 0.200 0.143 0.143
In 0.800 0.143 0.143
In 0.299 0.857 0.857
In 0.701 0.857 0.857
Ni 0.500 0.285 0.285
Ni 0.000 0.715 0.715

Record 4
Compound: HoErInNi2
Source: the Open Quantum Materials Database
Functional: GGA-PBE
Structure: relaxed

Crystal system: orthorhombic
Final energy (eV/atom): -5.15

Lattice parameters (Å, degrees): 3.625 7.357 7.357 30.67 90.00 90.00
Sites, in units of the cell vectors:
Er 0.000 0.361 0.361
Ho 0.000 0.639 0.639
In 0.500 0.000 0.000
Ni 0.500 0.199 0.199
Ni 0.500 0.802 0.802

Record 5
Compound: Ho2Er2In5Os2
Source: the Open Quantum Materials Database
Functional: GGA-PBE
Structure: relaxed

Crystal system: monoclinic
Final energy (eV/atom): -5.27

Lattice parameters (Å, degrees): 7.722 3.593 9.586 90.00 94.05 90.00
Sites, in units of the cell vectors:
Er 0.276 0.500 0.060
Er 0.724 0.500 0.940
Ho 0.673 0.500 0.346
Ho 0.327 0.500 0.654
In 0.947 0.000 0.174
In 0.330 0.000 0.351
In 0.000 0.000 0.500
In 0.670 0.000 0.649
In 0.053 0.000 0.826
Os 0.567 0.000 0.132
Os 0.433 0.000 0.868

Record 6
Compound: HoErIn4Pd2
Source: the Open Quantum Materials Database
Functional: GGA-PBE
Structure: relaxed

Crystal system: orthorhombic
Final energy (eV/atom): -4.44

Lattice parameters (Å, degrees): 7.511 5.727 5.727 46.03 90.00 90.00
Sites, in units of the cell vectors:
Er 0.000 0.074 0.074
Ho 0.500 0.926 0.926
In 0.201 0.363 0.363
In 0.799 0.363 0.363
In 0.299 0.637 0.637
In 0.701 0.637 0.637
Pd 0.500 0.210 0.210
Pd 0.000 0.789 0.789

Record 7
Compound: HoErIn2Pd4
Source: the Open Quantum Materials Database
Functional: GGA-PBE
Structure: relaxed

Crystal system: hexagonal
Final energy (eV/atom): -5.24

Lattice parameters (Å, degrees): 4.585 4.585 8.857 90.00 90.00 120.00
Sites, in units of the cell vectors:
Er 0.000 0.000 0.000
Ho 0.667 0.333 0.500
In 0.333 0.667 0.249
In 0.333 0.667 0.751
Pd 0.667 0.333 0.163
Pd 0.000 0.000 0.336
Pd 0.000 0.000 0.664
Pd 0.667 0.333 0.837

Record 8
Compound: Ho2ErIn3PdPt2
Source: the Open Quantum Materials Database
Functional: GGA-PBE
Structure: relaxed

Crystal system: orthorhombic
Final energy (eV/atom): -5.32

Lattice parameters (Å, degrees): 3.795 7.701 7.701 119.95 90.00 90.00
Sites, in units of the cell vectors:
Er 0.000 0.591 0.591
Ho 0.000 0.409 0.000
Ho 0.000 0.000 0.409
In 0.500 0.260 0.260
In 0.500 0.000 0.740
In 0.500 0.740 0.000
Pd 0.000 0.000 0.000
Pt 0.500 0.666 0.334
Pt 0.500 0.334 0.666

Record 9
Compound: Ho2ErIn3Pt2
Source: the Open Quantum Materials Database
Functional: GGA-PBE
Structure: relaxed

Crystal system: orthorhombic
Final energy (eV/atom): -5.15

Lattice parameters (Å, degrees): 3.599 7.698 7.698 119.98 90.00 90.00
Sites, in units of the cell vectors:
Er 0.000 0.421 0.421
Ho 0.000 0.579 0.000
Ho 0.000 0.000 0.579
In 0.500 0.231 0.000
In 0.500 0.000 0.231
In 0.500 0.769 0.769
Pt 0.500 0.667 0.333
Pt 0.500 0.333 0.667

Record 10
Compound: HoErIn2Pt4
Source: the Open Quantum Materials Database
Functional: GGA-PBE
Structure: relaxed

Crystal system: hexagonal
Final energy (eV/atom): -5.83

Lattice parameters (Å, degrees): 4.569 4.569 8.994 90.00 90.00 120.00
Sites, in units of the cell vectors:
Er 0.000 0.000 0.000
Ho 0.333 0.667 0.500
In 0.667 0.333 0.250
In 0.667 0.333 0.750
Pt 0.333 0.667 0.157
Pt 0.000 0.000 0.342
Pt 0.000 0.000 0.658
Pt 0.333 0.667 0.843

Record 11
Compound: HoErSc2In2
Source: the Open Quantum Materials Database
Functional: GGA-PBE
Structure: relaxed

Crystal system: trigonal
Final energy (eV/atom): -4.92

Lattice parameters (Å, degrees): 5.162 5.162 6.545 90.00 90.00 120.00
Sites, in units of the cell vectors:
Er 0.000 0.000 0.500
Ho 0.000 0.000 0.000
In 0.333 0.667 0.250
In 0.667 0.333 0.750
Sc 0.667 0.333 0.250
Sc 0.333 0.667 0.750

Record 12
Compound: Sm2HoErIn2
Source: the Open Quantum Materials Database
Functional: GGA-PBE
Structure: relaxed

Crystal system: trigonal
Final energy (eV/atom): -4.36

Lattice parameters (Å, degrees): 5.420 5.420 6.769 90.00 90.00 120.00
Sites, in units of the cell vectors:
Er 0.000 0.000 0.000
Ho 0.000 0.000 0.500
In 0.667 0.333 0.250
In 0.333 0.667 0.750
Sm 0.333 0.667 0.250
Sm 0.667 0.333 0.750